(1)
SrMg17Sc: relaxed, PBE-GGA.

Summary:
Calculated formation energy, eV/atom: 0.01
Symmetry: R3m
VASP energy, eV per atom: -1.84

Unit cell a=7.8442 b=7.8442 c=7.8442 alpha=82.07 beta=82.07 gamma=82.07
With the nearest neighbours (Å) after each atom.
Positions (direct):
Sr: 0.0000 0.0000 0.0000  19 Mg 3.64-3.99
Mg: 0.0253 0.0253 0.4859  8 Mg 2.97-3.24
Mg: 0.0253 0.4859 0.0253  8 Mg 2.97-3.24
Mg: 0.1591 0.6717 0.6717  10 Mg 2.97-3.20
Mg: 0.3210 0.3210 0.8023  9 Mg 2.97-3.21
Mg: 0.3210 0.8023 0.3210  9 Mg 2.97-3.21
Mg: 0.3642 0.6596 0.9719  8 Mg 3.01-3.24
Mg: 0.3642 0.9719 0.6596  8 Mg 3.01-3.24
Mg: 0.4859 0.0253 0.0253  8 Mg 2.97-3.24
Mg: 0.5641 0.5641 0.5641  7 Mg 3.02-3.20, 1 Sc 3.35
Mg: 0.6596 0.3642 0.9719  8 Mg 3.01-3.24
Mg: 0.6596 0.9719 0.3642  8 Mg 3.01-3.24
Mg: 0.6717 0.1591 0.6717  10 Mg 2.97-3.20
Mg: 0.6717 0.6717 0.1591  10 Mg 2.97-3.20
Mg: 0.7608 0.7608 0.7608  4 Mg 3.02-3.11
Mg: 0.8023 0.3210 0.3210  9 Mg 2.97-3.21
Mg: 0.9719 0.3642 0.6596  8 Mg 3.01-3.24
Mg: 0.9719 0.6596 0.3642  8 Mg 3.01-3.24
Sc: 0.3457 0.3457 0.3457  13 Mg 3.35-3.75

---

(2)
SrMgSc2: relaxed, PBE-GGA.

Summary:
Calculated formation energy, eV/atom: 0.10
Symmetry: P4mm
VASP energy, eV per atom: -3.88

Unit cell a=3.6759 b=3.6759 c=8.7790 alpha=90.00 beta=90.00 gamma=90.00
With the nearest neighbours (Å) after each atom.
Positions (direct):
Sr: 0.0000 0.0000 0.0000  4 Mg 3.63, 4 Sr 3.68, 4 Sc 3.78
Mg: 0.5000 0.5000 0.2883  4 Sc 3.11
Sc: 0.0000 0.0000 0.4833  4 Mg 3.11, 4 Sc 3.16
Sc: 0.5000 0.5000 0.6880  4 Sc 3.16, 1 Mg 3.51

---

(3)
SrMg2Sc: relaxed, PBE-GGA.

Summary:
Calculated formation energy, eV/atom: 0.11
Symmetry: P4mm
VASP energy, eV per atom: -2.70

Unit cell a=3.5788 b=3.5788 c=9.2383 alpha=90.00 beta=90.00 gamma=90.00
With the nearest neighbours (Å) after each atom.
Positions (direct):
Sr: 0.0000 0.0000 0.0000  4 Sr 3.58, 4 Mg 3.70, 4 Sc 3.81
Mg: 0.0000 0.0000 0.4888  4 Mg 3.12, 4 Sc 3.15
Mg: 0.5000 0.5000 0.2918  4 Mg 3.12
Sc: 0.5000 0.5000 0.6910  4 Mg 3.15

---

(4)
SrMgSc2: relaxed, PBE-GGA.

Summary:
Calculated formation energy, eV/atom: 0.18
Symmetry: C2/m
VASP energy, eV per atom: -3.80

Unit cell a=6.6709 b=6.6709 c=5.5831 alpha=114.60 beta=114.60 gamma=31.54
With the nearest neighbours (Å) after each atom.
Positions (direct):
Sr: 0.0000 0.0000 0.0000  4 Mg 3.33, 2 Sr 3.63, 4 Sc 3.69
Mg: 0.5000 0.5000 0.5000  4 Sc 3.15, 4 Sr 3.33
Sc: 0.2224 0.2224 0.7226  2 Mg 3.15, 4 Sc 3.39
Sc: 0.7776 0.7776 0.2774  2 Mg 3.15, 4 Sc 3.39

---

(5)
SrMg2Sc: relaxed, PBE-GGA.

Summary:
Calculated formation energy, eV/atom: 0.12
Symmetry: Cm
VASP energy, eV per atom: -2.68

Unit cell a=6.5887 b=6.5887 c=5.6703 alpha=115.30 beta=115.30 gamma=32.14
With the nearest neighbours (Å) after each atom.
Positions (direct):
Sr: 0.0000 0.0000 0.0000  6 Mg 3.37-3.52, 2 Sr 3.65, 4 Sc 3.71-3.73
Mg: 0.2341 0.2341 0.7375  2 Mg 3.07, 4 Sc 3.42-3.43
Mg: 0.5167 0.5167 0.5158  2 Mg 3.07, 2 Sc 3.18, 4 Sr 3.37-3.38
Sc: 0.7871 0.7871 0.2909  6 Mg 3.18-3.43

---

(6)
SrMgSc2: relaxed, PBE-GGA.

Summary:
Calculated formation energy, eV/atom: 0.31
Symmetry: Cmmm
VASP energy, eV per atom: -3.67

Unit cell a=5.9865 b=5.9865 c=3.4922 alpha=90.00 beta=90.00 gamma=110.92
With the nearest neighbours (Å) after each atom.
Positions (direct):
Sr: 0.0000 0.0000 0.0000  2 Mg 3.39, 8 Sc 3.47, 2 Sr 3.49
Mg: 0.5000 0.5000 0.0000  2 Sr 3.39, 8 Sc 3.47, 2 Mg 3.49
Sc: 0.0000 0.5000 0.5000  4 Sc 3.39-3.49, 4 Mg 3.47, 4 Sr 3.47
Sc: 0.5000 0.0000 0.5000  4 Sc 3.39-3.49, 4 Mg 3.47, 4 Sr 3.47

---

(7)
SrMgSc2: relaxed, PBE-GGA.

Summary:
Calculated formation energy, eV/atom: 0.24
Symmetry: Pmmm
VASP energy, eV per atom: -3.75

Unit cell a=3.9598 b=5.4000 c=5.4163 alpha=90.00 beta=90.00 gamma=90.00
With the nearest neighbours (Å) after each atom.
Positions (direct):
Sr: 0.0000 0.0000 0.0000  4 Mg 3.35, 4 Sc 3.35
Mg: 0.5000 0.5000 0.0000  4 Sr 3.35, 4 Sc 3.35
Sc: 0.0000 0.5000 0.5000  4 Sc 3.35, 4 Mg 3.35
Sc: 0.5000 0.0000 0.5000  4 Sc 3.35, 4 Sr 3.35

---

(8)
Sr2Mg2Sc: relaxed, PBE-GGA.

Summary:
Calculated formation energy, eV/atom: 0.16
Symmetry: P4/mbm
VASP energy, eV per atom: -2.42

Unit cell a=8.1428 b=8.1428 c=5.4226 alpha=90.00 beta=90.00 gamma=90.00
With the nearest neighbours (Å) after each atom.
Positions (direct):
Sr: 0.1773 0.3227 0.0000  6 Mg 3.50-3.71
Sr: 0.3227 0.8227 0.0000  6 Mg 3.50-3.71
Sr: 0.6773 0.1773 0.0000  6 Mg 3.50-3.71
Sr: 0.8227 0.6773 0.0000  6 Mg 3.50-3.71
Mg: 0.1302 0.6302 0.5000  1 Mg 3.00, 2 Sc 3.19
Mg: 0.3698 0.1302 0.5000  1 Mg 3.00, 2 Sc 3.19
Mg: 0.6302 0.8698 0.5000  1 Mg 3.00, 2 Sc 3.19
Mg: 0.8698 0.3698 0.5000  1 Mg 3.00, 2 Sc 3.19
Sc: 0.0000 0.0000 0.5000  4 Mg 3.19
Sc: 0.5000 0.5000 0.5000  4 Mg 3.19

---

(9)
SrMg2Sc: relaxed, PBE-GGA.

Summary:
Calculated formation energy, eV/atom: 0.19
Symmetry: I-4m2
VASP energy, eV per atom: -2.61

Unit cell a=5.8921 b=5.8921 c=5.8921 alpha=130.14 beta=130.14 gamma=73.18
With the nearest neighbours (Å) after each atom.
Positions (direct):
Sr: 0.0000 0.0000 0.0000  8 Mg 3.43-3.51, 4 Sc 3.43
Mg: 0.2500 0.7500 0.5000  4 Mg 3.43, 4 Sr 3.43, 4 Sc 3.51
Mg: 0.5000 0.5000 0.0000  4 Mg 3.43, 4 Sc 3.43, 4 Sr 3.51
Sc: 0.7500 0.2500 0.5000  8 Mg 3.43-3.51, 4 Sr 3.43

---

(10)
Sr3MgSc: relaxed, PBE-GGA.

Summary:
Calculated formation energy, eV/atom: 0.59
Symmetry: Pm-3m
VASP energy, eV per atom: -2.00

Unit cell a=6.2979 b=6.2979 c=6.2979 alpha=90.00 beta=90.00 gamma=90.00
With the nearest neighbours (Å) after each atom.
Positions (direct):
Sr: 0.0000 0.0000 0.5000  2 Mg 3.15
Sr: 0.0000 0.5000 0.0000  2 Mg 3.15
Sr: 0.5000 0.0000 0.0000  2 Mg 3.15
Mg: 0.0000 0.0000 0.0000  6 Sr 3.15
Sc: 0.5000 0.5000 0.5000  12 Sr 4.45

---

(11)
SrMgSc2: relaxed, PBE-GGA.

Summary:
Calculated formation energy, eV/atom: 0.50
Symmetry: I-42d
VASP energy, eV per atom: -3.49

Unit cell a=12.2496 b=12.2496 c=12.2496 alpha=158.53 beta=158.53 gamma=30.54
With the nearest neighbours (Å) after each atom.
Positions (direct):
Sr: 0.0000 0.0000 0.0000  4 Mg 3.23, 4 Sc 3.40
Sr: 0.7500 0.2500 0.5000  4 Mg 3.23, 4 Sc 3.40
Mg: 0.2500 0.7500 0.5000  4 Sr 3.23, 4 Sc 3.34
Mg: 0.5000 0.5000 0.0000  4 Sr 3.23, 4 Sc 3.34
Sc: 0.1440 0.6250 0.0190  4 Sc 3.11-3.35, 2 Mg 3.34, 2 Sr 3.40
Sc: 0.3750 0.3940 0.5190  4 Sc 3.11-3.35, 2 Mg 3.34, 2 Sr 3.40
Sc: 0.6060 0.1250 0.9810  4 Sc 3.11-3.35, 2 Mg 3.34, 2 Sr 3.40
Sc: 0.8750 0.8560 0.4810  4 Sc 3.11-3.35, 2 Mg 3.34, 2 Sr 3.40

---

(12)
SrMg2Sc: relaxed, PBE-GGA.

Summary:
Calculated formation energy, eV/atom: 0.17
Symmetry: R-3m
VASP energy, eV per atom: -2.63

Unit cell a=11.0451 b=11.0451 c=11.0451 alpha=18.57 beta=18.57 gamma=18.57
With the nearest neighbours (Å) after each atom.
Positions (direct):
Sr: 0.0000 0.0000 0.0000  6 Sr 3.56, 6 Mg 3.62
Mg: 0.2419 0.2419 0.2419  3 Sc 3.20, 6 Mg 3.56
Mg: 0.7581 0.7581 0.7581  3 Sc 3.20, 6 Mg 3.56
Sc: 0.5000 0.5000 0.5000  6 Mg 3.20, 6 Sc 3.56